## NbZnTcPb2 (PBE)

Data for an optimized crystal structure of NbZnTcPb2.

Values from the calculation:
Energy of formation from the pure elements = 1057.8 meV/atom
N(E_F) = 3.8 states/eV/cell
V = 147.8 Å³/cell
Density = 7536 kg/m³

Cell: 5.592 5.592 4.726 Å, 90.00 90.00 90.00°
Space group P4/mmm (No. 123)
Unique sites:
Nb 0.000 0.000 0.000 (multiplicity 1)
Zn 0.500 0.500 0.500 (multiplicity 1)
Tc 0.000 0.000 0.500 (multiplicity 1)
Pb 0.000 0.500 0.000 (multiplicity 2)